Record 1
ScIrSe4 | Alexandria | PBE | relaxed; space group = No. 216
1.0
0.0000 3.9005 3.9005
3.9005 0.0000 3.9005
3.9005 3.9005 0.0000
Sc Ir Se
1 1 4
Direct
0.0000 0.0000 0.0000
0.2500 0.2500 0.2500
0.1284 0.6238 0.6238
0.6238 0.1284 0.6238
0.6238 0.6238 0.1284
0.6238 0.6238 0.6238

Record 2
ScIr2Se | Alexandria | PBE | relaxed; space group = No. 12
1.0
9.7308 0.0000 0.0000
0.0000 2.9761 0.0000
-0.4307 0.0000 4.5795
Sc Ir Se
2 4 2
Direct
0.0000 0.0000 0.0000
0.5000 0.5000 0.0000
0.2283 0.5000 0.2347
0.2717 0.0000 0.7653
0.7283 0.0000 0.2347
0.7717 0.5000 0.7653
0.0000 0.5000 0.5000
0.5000 0.0000 0.5000

Record 3
ScIr2Se | Alexandria | PBE | relaxed; space group = No. 44
1.0
3.5051 0.0000 0.0000
0.0000 4.3488 0.0000
0.0000 0.0000 8.6762
Sc Ir Se
2 4 2
Direct
0.0000 0.0000 0.0000
0.5000 0.5000 0.5000
0.0000 0.0000 0.5297
0.0000 0.5000 0.7805
0.5000 0.0000 0.2805
0.5000 0.5000 0.0297
0.0000 0.5000 0.2385
0.5000 0.0000 0.7385

Record 4
ScIrSe | Alexandria | PBE | relaxed; space group = No. 166
1.0
2.1677 1.2515 8.2593
-2.1677 1.2515 8.2593
0.0000 -2.5030 8.2593
Sc Ir Se
2 2 2
Direct
0.0672 0.0672 0.0672
0.9328 0.9328 0.9328
0.3280 0.3280 0.3280
0.6720 0.6720 0.6720
0.2235 0.2235 0.2235
0.7765 0.7765 0.7765

Record 5
ScIrSe | Alexandria | PBE | relaxed; space group = No. 156
1.0
3.1773 0.0000 0.0000
-1.5886 2.7516 0.0000
0.0000 0.0000 6.4841
Sc Ir Se
1 1 1
Direct
0.0000 0.0000 0.0000
0.6667 0.3333 0.7118
0.3333 0.6667 0.3202

Record 6
Sc2IrSe | Alexandria | PBE | relaxed; space group = No. 44
1.0
3.4769 0.0000 0.0000
0.0000 3.4879 0.0000
0.0000 0.0000 13.4597
Sc Ir Se
4 2 2
Direct
0.0000 0.0000 0.0000
0.0000 0.5000 0.2650
0.5000 0.0000 0.7650
0.5000 0.5000 0.5000
0.0000 0.0000 0.4147
0.5000 0.5000 0.9147
0.0000 0.5000 0.6686
0.5000 0.0000 0.1686

Record 7
ScIr2Se | Alexandria | PBE | relaxed; space group = No. 160
1.0
3.1018 0.0000 0.0000
-1.5509 2.6862 0.0000
0.0000 0.0000 24.5284
Sc Ir Se
3 6 3
Direct
0.0000 0.0000 0.0000
0.3333 0.6667 0.6667
0.6667 0.3333 0.3333
0.0000 0.0000 0.2525
0.0000 0.0000 0.4997
0.3333 0.6667 0.1664
0.3333 0.6667 0.9192
0.6667 0.3333 0.5858
0.6667 0.3333 0.8330
0.0000 0.0000 0.7559
0.3333 0.6667 0.4226
0.6667 0.3333 0.0892

Record 8
ScIr2Se | Alexandria | PBE | relaxed; space group = No. 139
1.0
3.9072 0.0000 0.0000
0.0000 3.9072 0.0000
0.0000 0.0000 8.5238
Sc Ir Se
2 4 2
Direct
0.0000 0.0000 0.0000
0.5000 0.5000 0.5000
0.0000 0.5000 0.2500
0.0000 0.5000 0.7500
0.5000 0.0000 0.2500
0.5000 0.0000 0.7500
0.0000 0.0000 0.5000
0.5000 0.5000 0.0000

Record 9
ScIr2Se | Alexandria | PBE | relaxed; space group = No. 166
1.0
3.0235 0.0000 0.0000
-1.5118 2.6184 0.0000
0.0000 0.0000 25.3630
Sc Ir Se
3 6 3
Direct
0.0000 0.0000 0.0000
0.3333 0.6667 0.6667
0.6667 0.3333 0.3333
0.0000 0.0000 0.2493
0.0000 0.0000 0.7507
0.3333 0.6667 0.4174
0.3333 0.6667 0.9159
0.6667 0.3333 0.0841
0.6667 0.3333 0.5826
0.0000 0.0000 0.5000
0.3333 0.6667 0.1667
0.6667 0.3333 0.8333

Record 10
ScIr2Se | Alexandria | PBE | relaxed; space group = No. 216
1.0
6.4426 0.0000 0.0000
0.0000 6.4426 0.0000
0.0000 0.0000 6.4426
Sc Ir Se
4 8 4
Direct
0.0000 0.0000 0.0000
0.0000 0.5000 0.5000
0.5000 0.0000 0.5000
0.5000 0.5000 0.0000
0.0000 0.0000 0.5000
0.0000 0.5000 0.0000
0.2500 0.2500 0.2500
0.2500 0.7500 0.7500
0.5000 0.0000 0.0000
0.5000 0.5000 0.5000
0.7500 0.2500 0.7500
0.7500 0.7500 0.2500
0.2500 0.2500 0.7500
0.2500 0.7500 0.2500
0.7500 0.2500 0.2500
0.7500 0.7500 0.7500

Record 11
ScIrSe | Alexandria | PBE | relaxed; space group = No. 156
1.0
4.2515 0.0000 0.0000
-2.1258 3.6819 0.0000
0.0000 0.0000 3.3841
Sc Ir Se
1 1 1
Direct
0.0000 0.0000 0.0000
0.3333 0.6667 0.5372
0.6667 0.3333 0.4694

Record 12
ScIr2Se | Alexandria | PBE | relaxed; space group = No. 123
1.0
4.1031 0.0000 0.0000
0.0000 4.1031 0.0000
0.0000 0.0000 3.8578
Sc Ir Se
1 2 1
Direct
0.0000 0.0000 0.0000
0.0000 0.5000 0.5000
0.5000 0.0000 0.5000
0.5000 0.5000 0.0000

Record 13
ScSi2Ir | Alexandria | PBE | relaxed; space group = No. 160
1.0
3.0468 0.0000 0.0000
-1.5234 2.6386 0.0000
0.0000 0.0000 24.0645
Sc Si Ir
3 6 3
Direct
0.0000 0.0000 0.0000
0.3333 0.6667 0.6667
0.6667 0.3333 0.3333
0.0000 0.0000 0.2411
0.0000 0.0000 0.4973
0.3333 0.6667 0.1640
0.3333 0.6667 0.9078
0.6667 0.3333 0.5744
0.6667 0.3333 0.8307
0.0000 0.0000 0.7566
0.3333 0.6667 0.4233
0.6667 0.3333 0.0900

Record 14
ScSi7Ir3 | Alexandria | PBE | relaxed; space group = No. 167
1.0
3.7789 2.1817 6.6777
-3.7789 2.1817 6.6777
0.0000 -4.3635 6.6777
Sc Si Ir
2 14 6
Direct
0.0000 0.0000 0.0000
0.5000 0.5000 0.5000
0.0653 0.8506 0.6723
0.1494 0.3277 0.9347
0.1723 0.3506 0.5653
0.2500 0.2500 0.2500
0.3277 0.9347 0.1494
0.3506 0.5653 0.1723
0.4347 0.8277 0.6494
0.5653 0.1723 0.3506
0.6494 0.4347 0.8277
0.6723 0.0653 0.8506
0.7500 0.7500 0.7500
0.8277 0.6494 0.4347
0.8506 0.6723 0.0653
0.9347 0.1494 0.3277
0.0730 0.7500 0.4270
0.2500 0.5730 0.9270
0.4270 0.0730 0.7500
0.5730 0.9270 0.2500
0.7500 0.4270 0.0730
0.9270 0.2500 0.5730

Record 15
ScSi2Ir | Alexandria | PBE | relaxed; space group = No. 47
1.0
3.0425 0.0000 0.0000
0.0000 4.1179 0.0000
0.0000 0.0000 5.0618
Sc Si Ir
1 2 1
Direct
0.0000 0.0000 0.0000
0.5000 0.5000 0.2444
0.5000 0.5000 0.7556
0.5000 0.0000 0.5000

no.,total magnetization (μB per formula unit),raw total energy (hartree per atom)
1,0.00,-0.156
2,0.00,-0.267
3,0.00,-0.264
4,0.00,-0.260
5,0.00,-0.241
6,0.00,-0.267
7,0.00,-0.252
8,0.00,-0.265
9,0.00,-0.258
10,0.00,-0.254
11,0.00,-0.258
12,0.00,-0.265
13,0.00,-0.247
14,0.00,-0.262
15,0.00,-0.265